No. 1
DFT (GGA-PBE) results for LiGaGe after structural relaxation.

a b c (Å): 4.3612 4.3612 3.2306
angles (deg): 90.00 90.00 120.00
Element x y z (fractional)
Li (0.0000, 0.0000, 0.0000)
Ga (0.3333, 0.6667, 0.4184)
Ge (0.6667, 0.3333, 0.5748)

Computed properties:
Calculated density = 4.66 g cm⁻³
Space-group type = P3m1
ΔH_f (0 K) = -0.150 eV per atom


No. 2
DFT (GGA-PBE) results for LiGaGe after structural relaxation.

a b c (Å): 3.9794 5.4296 5.9092
angles (deg): 114.29 109.68 90.12
Element x y z (fractional)
Li (0.0000, 0.0000, 0.0000)
Li (0.3065, 0.0968, 0.6130)
Ga (0.3247, 0.6321, 0.6480)
Ga (0.6186, 0.7166, 0.2353)
Ge (0.6855, 0.2759, 0.3705)
Ge (0.9508, 0.4473, 0.9001)

Computed properties:
Calculated density = 4.59 g cm⁻³
Space-group type = P1
ΔH_f (0 K) = -0.133 eV per atom


No. 3
DFT (GGA-PBE) results for LiGaGe after structural relaxation.

a b c (Å): 6.6693 4.2372 7.7710
angles (deg): 90.00 90.00 90.00
Element x y z (fractional)
Li (0.0060, 0.2500, 0.1693)
Li (0.4940, 0.7500, 0.6693)
Li (0.5060, 0.2500, 0.3307)
Li (0.9940, 0.7500, 0.8307)
Ga (0.1735, 0.2500, 0.5899)
Ga (0.3265, 0.7500, 0.0899)
Ga (0.6735, 0.2500, 0.9101)
Ga (0.8265, 0.7500, 0.4101)
Ge (0.2155, 0.7500, 0.4031)
Ge (0.2845, 0.2500, 0.9031)
Ge (0.7155, 0.7500, 0.0969)
Ge (0.7845, 0.2500, 0.5969)

Computed properties:
Calculated density = 4.52 g cm⁻³
Space-group type = Pnma
ΔH_f (0 K) = -0.206 eV per atom


No. 4
DFT (GGA-PBE) results for Li2Ga2Ge after structural relaxation.

a b c (Å): 7.2707 7.2707 3.1945
angles (deg): 90.00 90.00 90.00
Element x y z (fractional)
Li (0.1360, 0.3640, 0.0000)
Li (0.3640, 0.8640, 0.0000)
Li (0.6360, 0.1360, 0.0000)
Li (0.8640, 0.6360, 0.0000)
Ga (0.1637, 0.6637, 0.5000)
Ga (0.3363, 0.1637, 0.5000)
Ga (0.6637, 0.8363, 0.5000)
Ga (0.8363, 0.3363, 0.5000)
Ge (0.0000, 0.0000, 0.0000)
Ge (0.5000, 0.5000, 0.0000)

Computed properties:
Calculated density = 4.44 g cm⁻³
Relative energy among the computed polymorphs = 185 meV/atom
Space-group type = P4/mbm
ΔH_f (0 K) = -0.065 eV per atom


No. 5
DFT (GGA-PBE) results for LiGa4Ge after structural relaxation.

a b c (Å): 5.4566 5.4566 5.4566
angles (deg): 60.00 60.00 60.00
Element x y z (fractional)
Li (0.0000, 0.0000, 0.0000)
Ga (0.3747, 0.3747, 0.3747)
Ga (0.3747, 0.3747, 0.8758)
Ga (0.3747, 0.8758, 0.3747)
Ga (0.8758, 0.3747, 0.3747)
Ge (0.7500, 0.7500, 0.7500)

Computed properties:
Calculated density = 5.18 g cm⁻³
Relative energy among the computed polymorphs = 87 meV/atom
Space-group type = F-43m
ΔH_f (0 K) = 0.027 eV per atom


No. 6
DFT (GGA-PBE) results for LiGaGe2 after structural relaxation.

a b c (Å): 6.0413 6.0413 6.0413
angles (deg): 101.20 101.20 127.69
Element x y z (fractional)
Li (0.0000, 0.0000, 0.0000)
Li (0.7500, 0.2500, 0.5000)
Ga (0.2500, 0.7500, 0.5000)
Ga (0.5000, 0.5000, 0.0000)
Ge (0.1729, 0.6250, 0.0479)
Ge (0.3750, 0.4229, 0.5479)
Ge (0.5771, 0.1250, 0.9521)
Ge (0.8750, 0.8271, 0.4521)

Computed properties:
Calculated density = 4.71 g cm⁻³
Space-group type = I-42d
ΔH_f (0 K) = 0.047 eV per atom


No. 7
DFT (GGA-PBE) results for LiGaGe after structural relaxation.

a b c (Å): 4.1809 6.2473 6.2473
angles (deg): 38.59 90.00 90.00
Element x y z (fractional)
Li (0.0000, 0.0000, 0.0000)
Li (0.0000, 0.3217, 0.3217)
Ga (0.0000, 0.6624, 0.6624)
Ga (0.5000, 0.8292, 0.8292)
Ge (0.5000, 0.1594, 0.1594)
Ge (0.5000, 0.4889, 0.4889)

Computed properties:
Calculated density = 4.87 g cm⁻³
Space-group type = Amm2
ΔH_f (0 K) = -0.158 eV per atom


No. 8
DFT (GGA-PBE) results for Li5GaGe2 after structural relaxation.

a b c (Å): 4.6380 4.6380 16.0845
angles (deg): 90.00 90.00 120.00
Element x y z (fractional)
Li (0.0000, 0.0000, 0.1390)
Li (0.0000, 0.0000, 0.3610)
Li (0.0000, 0.0000, 0.6390)
Li (0.0000, 0.0000, 0.8610)
Li (0.3333, 0.6667, 0.0569)
Li (0.3333, 0.6667, 0.2500)
Li (0.3333, 0.6667, 0.4431)
Li (0.6667, 0.3333, 0.5569)
Li (0.6667, 0.3333, 0.7500)
Li (0.6667, 0.3333, 0.9431)
Ga (0.3333, 0.6667, 0.7500)
Ga (0.6667, 0.3333, 0.2500)
Ge (0.3333, 0.6667, 0.6049)
Ge (0.3333, 0.6667, 0.8951)
Ge (0.6667, 0.3333, 0.1049)
Ge (0.6667, 0.3333, 0.3951)

Computed properties:
Calculated density = 2.77 g cm⁻³
Space-group type = P6_3/mmc
ΔH_f (0 K) = -0.245 eV per atom


No. 9
DFT (GGA-PBE) results for LiGaGe after structural relaxation.

a b c (Å): 3.9902 3.9902 6.9922
angles (deg): 106.46 106.46 90.06
Element x y z (fractional)
Li (0.0000, 0.5000, 0.0000)
Li (0.5000, 0.0000, 0.0000)
Ga (0.1565, 0.1565, 0.3143)
Ga (0.8435, 0.8435, 0.6857)
Ge (0.3554, 0.3554, 0.7114)
Ge (0.6446, 0.6446, 0.2886)

Computed properties:
Calculated density = 4.86 g cm⁻³
Space-group type = C2/m
ΔH_f (0 K) = -0.159 eV per atom


No. 10
DFT (GGA-PBE) results for LiGaGe after structural relaxation.

a b c (Å): 4.8815 2.8679 7.3319
angles (deg): 90.00 94.43 90.00
Element x y z (fractional)
Li (0.1720, 0.0000, 0.1667)
Li (0.8280, 0.0000, 0.8333)
Ga (0.0000, 0.5000, 0.5000)
Ga (0.5000, 0.0000, 0.5000)
Ge (0.3265, 0.5000, 0.8464)
Ge (0.6735, 0.5000, 0.1536)

Computed properties:
Calculated density = 4.85 g cm⁻³
Space-group type = P2/m
ΔH_f (0 K) = -0.116 eV per atom


No. 11
DFT (GGA-PBE) results for Li6GaGe after structural relaxation.

a b c (Å): 5.7205 5.7205 4.5560
angles (deg): 90.00 90.00 120.00
Element x y z (fractional)
Li (0.0234, 0.5117, 0.0000)
Li (0.3219, 0.1610, 0.5000)
Li (0.4883, 0.5117, 0.0000)
Li (0.4883, 0.9766, 0.0000)
Li (0.8390, 0.1610, 0.5000)
Li (0.8390, 0.6781, 0.5000)
Ga (0.0000, 0.0000, 0.0000)
Ge (0.3333, 0.6667, 0.5000)

Computed properties:
Calculated density = 2.37 g cm⁻³
Space-group type = P-6m2
ΔH_f (0 K) = -0.222 eV per atom


No. 12
DFT (GGA-PBE) results for LiGaGe after structural relaxation.

a b c (Å): 4.2462 5.1619 5.7476
angles (deg): 76.71 69.98 70.96
Element x y z (fractional)
Li (0.1013, 0.1837, 0.1474)
Li (0.8987, 0.8163, 0.8526)
Ga (0.3484, 0.2368, 0.5782)
Ga (0.6516, 0.7632, 0.4218)
Ge (0.3187, 0.6198, 0.1928)
Ge (0.6813, 0.3802, 0.8072)

Computed properties:
Calculated density = 4.47 g cm⁻³
Space-group type = P-1
ΔH_f (0 K) = -0.166 eV per atom


No. 13
DFT (GGA-PBE) results for LiGaGe after structural relaxation.

a b c (Å): 3.3956 4.0839 4.5014
angles (deg): 90.00 90.00 90.00
Element x y z (fractional)
Li (0.0000, 0.0000, 0.0000)
Ga (0.0000, 0.5000, 0.5000)
Ge (0.5000, 0.0000, 0.5000)

Computed properties:
Calculated density = 3.97 g cm⁻³
Space-group type = Pmmm
ΔH_f (0 K) = 0.004 eV per atom


No. 14
DFT (GGA-PBE) results for Li2GaGe2 after structural relaxation.

a b c (Å): 7.6958 7.6958 2.8896
angles (deg): 90.00 90.00 90.00
Element x y z (fractional)
Li (0.1849, 0.3151, 0.0000)
Li (0.3151, 0.8151, 0.0000)
Li (0.6849, 0.1849, 0.0000)
Li (0.8151, 0.6849, 0.0000)
Ga (0.0000, 0.0000, 0.5000)
Ga (0.5000, 0.5000, 0.5000)
Ge (0.1157, 0.6157, 0.5000)
Ge (0.3843, 0.1157, 0.5000)
Ge (0.6157, 0.8843, 0.5000)
Ge (0.8843, 0.3843, 0.5000)

Computed properties:
Calculated density = 4.44 g cm⁻³
Relative energy among the computed polymorphs = 44 meV/atom
Space-group type = P4/mbm
ΔH_f (0 K) = -0.161 eV per atom


No. 15
DFT (GGA-PBE) results for LiGa3Ge after structural relaxation.

a b c (Å): 5.0630 5.0630 5.0630
angles (deg): 90.00 90.00 90.00
Element x y z (fractional)
Li (0.0000, 0.0000, 0.0000)
Ga (0.0000, 0.5000, 0.5000)
Ga (0.5000, 0.0000, 0.5000)
Ga (0.5000, 0.5000, 0.0000)
Ge (0.5000, 0.5000, 0.5000)

Computed properties:
Calculated density = 3.69 g cm⁻³
Relative energy among the computed polymorphs = 0 meV/atom
Space-group type = Pm-3m
ΔH_f (0 K) = 0.343 eV per atom


No. 16
DFT (GGA-PBE) results for Li2GaGe2 after structural relaxation.

a b c (Å): 7.2637 7.2637 3.2002
angles (deg): 90.00 90.00 90.00
Element x y z (fractional)
Li (0.1241, 0.3759, 0.0000)
Li (0.3759, 0.8759, 0.0000)
Li (0.6241, 0.1241, 0.0000)
Li (0.8759, 0.6241, 0.0000)
Ga (0.0000, 0.0000, 0.0000)
Ga (0.5000, 0.5000, 0.0000)
Ge (0.1766, 0.6766, 0.5000)
Ge (0.3234, 0.1766, 0.5000)
Ge (0.6766, 0.8234, 0.5000)
Ge (0.8234, 0.3234, 0.5000)

Computed properties:
Calculated density = 4.50 g cm⁻³
Relative energy among the computed polymorphs = 151 meV/atom
Space-group type = P4/mbm
ΔH_f (0 K) = -0.053 eV per atom


No. 17
DFT (GGA-PBE) results for LiGa3Ge after structural relaxation.

a b c (Å): 4.6325 4.6325 4.6325
angles (deg): 90.00 90.00 90.00
Element x y z (fractional)
Li (0.0000, 0.0000, 0.0000)
Ga (0.0000, 0.0000, 0.5000)
Ga (0.0000, 0.5000, 0.0000)
Ga (0.5000, 0.0000, 0.0000)
Ge (0.5000, 0.5000, 0.5000)

Computed properties:
Calculated density = 4.82 g cm⁻³
Relative energy among the computed polymorphs = 5 meV/atom
Space-group type = Pm-3m
ΔH_f (0 K) = 0.348 eV per atom


No. 18
DFT (GGA-PBE) results for Li2Ga2Ge after structural relaxation.

a b c (Å): 5.2466 5.2466 10.6677
angles (deg): 112.40 112.40 43.34
Element x y z (fractional)
Li (0.0215, 0.0215, 0.1918)
Li (0.1866, 0.1866, 0.6204)
Li (0.8134, 0.8134, 0.3796)
Li (0.9785, 0.9785, 0.8082)
Ga (0.3538, 0.3538, 0.9615)
Ga (0.4492, 0.4492, 0.5943)
Ga (0.5508, 0.5508, 0.4057)
Ga (0.6462, 0.6462, 0.0385)
Ge (0.3031, 0.3031, 0.1870)
Ge (0.6969, 0.6969, 0.8130)

Computed properties:
Calculated density = 4.08 g cm⁻³
Relative energy among the computed polymorphs = 48 meV/atom
Space-group type = C2/m
ΔH_f (0 K) = -0.203 eV per atom


No. 19
DFT (GGA-PBE) results for LiGaGe after structural relaxation.

a b c (Å): 6.6250 6.6250 6.6250
angles (deg): 40.95 40.95 40.95
Element x y z (fractional)
Li (0.2163, 0.2163, 0.2163)
Li (0.7837, 0.7837, 0.7837)
Ga (0.3833, 0.3833, 0.3833)
Ga (0.6167, 0.6167, 0.6167)
Ge (0.0688, 0.0688, 0.0688)
Ge (0.9312, 0.9312, 0.9312)

Computed properties:
Calculated density = 4.40 g cm⁻³
Space-group type = R-3m
ΔH_f (0 K) = -0.079 eV per atom


No. 20
DFT (GGA-PBE) results for Li6Ga2Ge3 after structural relaxation.

a b c (Å): 9.4557 9.4557 9.4557
angles (deg): 148.51 148.51 45.14
Element x y z (fractional)
Li (0.0968, 0.5968, 0.5000)
Li (0.2168, 0.2168, 0.0000)
Li (0.4032, 0.9032, 0.5000)
Li (0.5968, 0.0968, 0.5000)
Li (0.7832, 0.7832, 0.0000)
Li (0.9032, 0.4032, 0.5000)
Ga (0.0693, 0.0693, 0.0000)
Ga (0.9307, 0.9307, 0.0000)
Ge (0.3622, 0.3622, 0.0000)
Ge (0.5000, 0.5000, 0.0000)
Ge (0.6378, 0.6378, 0.0000)

Computed properties:
Calculated density = 2.88 g cm⁻³
Space-group type = I4/mmm
ΔH_f (0 K) = -0.007 eV per atom


No. 21
DFT (GGA-PBE) results for LiGaGe after structural relaxation.

a b c (Å): 4.7632 2.9642 7.6964
angles (deg): 90.00 105.88 90.00
Element x y z (fractional)
Li (0.0000, 0.0000, 0.0000)
Li (0.4694, 0.0000, 0.3516)
Ga (0.4484, 0.0000, 0.7264)
Ga (0.9111, 0.5000, 0.6430)
Ge (0.4991, 0.5000, 0.0426)
Ge (0.9684, 0.5000, 0.3095)

Computed properties:
Calculated density = 4.74 g cm⁻³
Space-group type = Pm
ΔH_f (0 K) = -0.128 eV per atom


No. 22
DFT (GGA-PBE) results for Li6GaGe2 after structural relaxation.

a b c (Å): 9.0455 9.0455 9.0455
angles (deg): 28.90 28.90 28.90
Element x y z (fractional)
Li (0.0864, 0.0864, 0.0864)
Li (0.2072, 0.2072, 0.2072)
Li (0.3068, 0.3068, 0.3068)
Li (0.6932, 0.6932, 0.6932)
Li (0.7928, 0.7928, 0.7928)
Li (0.9136, 0.9136, 0.9136)
Ga (0.5000, 0.5000, 0.5000)
Ge (0.4069, 0.4069, 0.4069)
Ge (0.5931, 0.5931, 0.5931)

Computed properties:
Calculated density = 2.79 g cm⁻³
Relative energy among the computed polymorphs = 0 meV/atom
Space-group type = R-3m
ΔH_f (0 K) = -0.311 eV per atom


No. 23
DFT (GGA-PBE) results for LiGaGe after structural relaxation.

a b c (Å): 5.0880 5.0880 6.3867
angles (deg): 110.53 110.53 47.62
Element x y z (fractional)
Li (0.1602, 0.1602, 0.2751)
Li (0.8398, 0.8398, 0.7249)
Ga (0.4045, 0.4045, 0.0997)
Ga (0.5955, 0.5955, 0.9003)
Ge (0.1285, 0.1285, 0.6880)
Ge (0.8715, 0.8715, 0.3120)

Computed properties:
Calculated density = 4.40 g cm⁻³
Space-group type = C2/m
ΔH_f (0 K) = -0.180 eV per atom


No. 24
DFT (GGA-PBE) results for Li4Ga5Ge2 after structural relaxation.

a b c (Å): 7.0158 2.8638 9.2354
angles (deg): 90.00 93.25 90.00
Element x y z (fractional)
Li (0.1752, 0.0000, 0.3970)
Li (0.2890, 0.0000, 0.9456)
Li (0.7110, 0.0000, 0.0544)
Li (0.8248, 0.0000, 0.6030)
Ga (0.1866, 0.5000, 0.6575)
Ga (0.4438, 0.5000, 0.2070)
Ga (0.5000, 0.5000, 0.5000)
Ga (0.5562, 0.5000, 0.7930)
Ga (0.8134, 0.5000, 0.3425)
Ge (0.0653, 0.5000, 0.1416)
Ge (0.9347, 0.5000, 0.8584)

Computed properties:
Calculated density = 4.68 g cm⁻³
Space-group type = P2/m
ΔH_f (0 K) = -0.197 eV per atom


No. 25
DFT (GGA-PBE) results for LiGa4Ge after structural relaxation.

a b c (Å): 5.0769 5.0769 9.6461
angles (deg): 106.64 106.64 70.02
Element x y z (fractional)
Li (0.0000, 0.5000, 0.0000)
Li (0.5000, 0.0000, 0.5000)
Ga (0.1396, 0.6984, 0.5252)
Ga (0.3016, 0.8604, 0.9748)
Ga (0.3118, 0.3623, 0.7685)
Ga (0.3623, 0.3118, 0.2685)
Ga (0.6377, 0.6882, 0.7315)
Ga (0.6882, 0.6377, 0.2315)
Ga (0.6984, 0.1396, 0.0252)
Ga (0.8604, 0.3016, 0.4748)
Ge (0.1052, 0.8948, 0.2500)
Ge (0.8948, 0.1052, 0.7500)

Computed properties:
Calculated density = 5.44 g cm⁻³
Relative energy among the computed polymorphs = 0 meV/atom
Space-group type = C2/c
ΔH_f (0 K) = -0.060 eV per atom